This record from Alexandria via LeMat-Bulk describes a geometry-optimized HfAgHgPd structure. The functional is GGA-PBE.

Cell and atoms, written as POSCAR:
```
HfAgHgPd
1.0
0.000 3.329 3.329
3.329 0.000 3.329
3.329 3.329 0.000
Hf Ag Hg Pd
1 1 1 1
Direct
0.000 0.000 0.000
0.750 0.750 0.750
0.500 0.500 0.500
0.250 0.250 0.250
```

## Properties
For the density of states at the Fermi level, the calculation gives 3.006 states/eV per cell. The raw total energy is -4.778 eV per atom. The space group is F-43m, No. 216. For the energy of formation from the pure elements, the calculation gives -0.203 eV per atom. As for the volume: 73.8 Å³ per cell.